#a
Computed, not measured: an optimized crystal structure of LiScBr2 at the PBE level of DFT.

Space-group type ... Pmmm
Calculated density ... 3816 kg/m³

Cell lengths 3.7403, 3.8978, 6.3189 Å; angles 90.00, 90.00, 90.00 degrees
Closest atoms and distances in Å follow each position.
Fractional coordinates of all 4 atoms:
Li 0.0000 0.0000 0.0000  4 Br 2.70
Sc 0.5000 0.0000 0.5000  4 Br 2.70
Br 0.0000 0.5000 0.5000  4 Sc 2.70
Br 0.5000 0.5000 0.0000  4 Li 2.70

#b
Computed, not measured: an optimized crystal structure of LiScBr2 at the PBE level of DFT.

Space-group type ... P2/m
Calculated density ... 3525 kg/m³

Cell lengths 3.7133, 3.4761, 7.9256 Å; angles 90.00, 102.89, 90.00 degrees
Closest atoms and distances in Å follow each position.
Fractional coordinates of all 4 atoms:
Li 0.0000 0.0000 0.0000  4 Br 2.63
Sc 0.5000 0.0000 0.5000  4 Br 2.81
Br 0.3899 0.5000 0.2143  2 Li 2.63, 2 Sc 2.81
Br 0.6101 0.5000 0.7857  2 Li 2.63, 2 Sc 2.81

#c
Computed, not measured: an optimized crystal structure of LiScBr2 at the PBE level of DFT.

Space-group type ... I-4m2
Calculated density ... 3520 kg/m³

Cell lengths 7.3521, 7.3521, 7.3521 Å; angles 149.87, 149.87, 43.14 degrees
Closest atoms and distances in Å follow each position.
Fractional coordinates of all 4 atoms:
Li 0.0000 0.0000 0.0000  4 Br 2.70
Sc 0.2500 0.7500 0.5000  4 Br 2.70
Br 0.5000 0.5000 0.0000  4 Li 2.70
Br 0.7500 0.2500 0.5000  4 Sc 2.70

Most stable: #b (next structure +11.2 kJ/mol of atoms)

#a
Computed, not measured: an optimized crystal structure of LiScBr2 at the PBE level of DFT.

Space-group type ... I-42d
Calculated density ... 3166 kg/m³

Cell lengths 7.0776, 7.0776, 7.0776 Å; angles 126.40, 126.40, 79.23 degrees
Closest atoms and distances in Å follow each position.
Fractional coordinates of all 8 atoms:
Li 0.0000 0.0000 0.0000  4 Br 2.50
Li 0.7500 0.2500 0.5000  4 Br 2.50
Sc 0.2500 0.7500 0.5000  4 Br 2.78
Sc 0.5000 0.5000 0.0000  4 Br 2.78
Br 0.0892 0.6250 0.9642  2 Li 2.50, 2 Sc 2.78
Br 0.3750 0.3392 0.4642  2 Li 2.50, 2 Sc 2.78
Br 0.6608 0.1250 0.0358  2 Li 2.50, 2 Sc 2.78
Br 0.8750 0.9108 0.5358  2 Li 2.50, 2 Sc 2.78

#b
Computed, not measured: an optimized crystal structure of LiScBr2 at the PBE level of DFT.

Space-group type ... Immm
Calculated density ... 3490 kg/m³

Cell lengths 5.6703, 5.6703, 5.6703 Å; angles 143.76, 105.09, 86.17 degrees
Closest atoms and distances in Å follow each position.
Fractional coordinates of all 4 atoms:
Li 0.0000 0.0000 0.0000  4 Br 2.67
Sc 0.5000 0.5000 0.0000  4 Br 2.77
Br 0.2424 0.7424 0.5000  2 Li 2.67, 2 Sc 2.77
Br 0.7576 0.2576 0.5000  2 Li 2.67, 2 Sc 2.77

Most stable: #a (next structure +1.7 kJ/mol of atoms)

#a
Computed, not measured: an optimized crystal structure of Li2ScBr at the PBE level of DFT.

Space-group type ... P4/mmm
Calculated density ... 2732 kg/m³

Cell lengths 3.9718, 3.9718, 5.3465 Å; angles 90.00, 90.00, 90.00 degrees
Closest atoms and distances in Å follow each position.
Fractional coordinates of all 4 atoms:
Li 0.0000 0.5000 0.0000  4 Li 2.81
Li 0.5000 0.0000 0.0000  4 Li 2.81
Sc 0.0000 0.0000 0.5000  4 Br 2.81
Br 0.5000 0.5000 0.5000  4 Sc 2.81

#b
Computed, not measured: an optimized crystal structure of Li2ScBr at the PBE level of DFT.

Space-group type ... Cm
Calculated density ... 2631 kg/m³

Cell lengths 5.3949, 5.3949, 5.7425 Å; angles 114.58, 114.58, 35.63 degrees
Closest atoms and distances in Å follow each position.
Fractional coordinates of all 4 atoms:
Li 0.0000 0.0000 0.0000  2 Br 2.68, 1 Li 2.91
Li 0.2161 0.2161 0.7992  2 Br 2.77, 1 Li 2.91
Sc 0.8104 0.8104 0.3736  3 Br 2.80-2.86
Br 0.5433 0.5433 0.3950  4 Li 2.68-2.77, 3 Sc 2.80-2.86

#c
Computed, not measured: an optimized crystal structure of Li2ScBr at the PBE level of DFT.

Space-group type ... Cmm2
Calculated density ... 2533 kg/m³

Cell lengths 3.3946, 3.3946, 8.6488 Å; angles 90.00, 90.00, 114.12 degrees
Closest atoms and distances in Å follow each position.
Fractional coordinates of all 4 atoms:
Li 0.0000 0.0000 0.0000  2 Li 2.95, 2 Sc 2.95
Li 0.5000 0.5000 0.2655  2 Br 2.63, 2 Li 2.95
Sc 0.5000 0.5000 0.7344  2 Br 2.85, 2 Li 2.95
Br 0.0000 0.0000 0.4827  2 Li 2.63, 2 Sc 2.85

#d
Computed, not measured: an optimized crystal structure of Li2ScBr at the PBE level of DFT.

Space-group type ... I4/mmm
Calculated density ... 2633 kg/m³

Cell lengths 6.3698, 6.3698, 6.3698 Å; angles 144.31, 144.31, 51.37 degrees
Closest atoms and distances in Å follow each position.
Fractional coordinates of all 4 atoms:
Li 0.2500 0.7500 0.5000  4 Li 2.76
Li 0.7500 0.2500 0.5000  4 Li 2.76
Sc 0.0000 0.0000 0.0000  4 Br 2.76
Br 0.5000 0.5000 0.0000  4 Sc 2.76

Most stable: #c (next structure +3.1 kJ/mol of atoms)

#a
Computed, not measured: an optimized crystal structure of Li2ScBr at the PBE level of DFT.

Space-group type ... P4mm
Calculated density ... 2775 kg/m³

Cell lengths 3.4299, 3.4299, 7.0559 Å; angles 90.00, 90.00, 90.00 degrees
Closest atoms and distances in Å follow each position.
Fractional coordinates of all 4 atoms:
Li 0.0000 0.0000 0.0000  4 Li 2.88, 4 Br 2.93
Li 0.5000 0.5000 0.2199  4 Li 2.88, 4 Sc 3.06, 1 Br 3.19
Sc 0.0000 0.0000 0.4851  5 Li 3.06-3.42, 4 Br 3.14, 4 Sc 3.43
Br 0.5000 0.5000 0.7672  5 Li 2.93-3.19, 4 Sc 3.14

#b
Computed, not measured: an optimized crystal structure of Li2ScBr at the PBE level of DFT.

Space-group type ... F-43m
Calculated density ... 2673 kg/m³

Cell lengths 4.9581, 4.9581, 4.9581 Å; angles 60.00, 60.00, 60.00 degrees
Closest atoms and distances in Å follow each position.
Fractional coordinates of all 4 atoms:
Li 0.0000 0.0000 0.0000  4 Li 3.04, 4 Sc 3.04
Li 0.2500 0.2500 0.2500  4 Br 3.04, 4 Li 3.04
Sc 0.7500 0.7500 0.7500  4 Li 3.04, 4 Br 3.04
Br 0.5000 0.5000 0.5000  4 Sc 3.04, 4 Li 3.04

#c
Computed, not measured: an optimized crystal structure of Li2ScBr at the PBE level of DFT.

Space-group type ... C2/m
Calculated density ... 2498 kg/m³

Cell lengths 5.7105, 5.7105, 3.3804 Å; angles 90.07, 90.07, 123.22 degrees
Closest atoms and distances in Å follow each position.
Fractional coordinates of all 4 atoms:
Li 0.0000 0.5000 0.0000  2 Li 2.72
Li 0.5000 0.0000 0.0000  2 Li 2.72
Sc 0.0000 0.0000 0.5000  2 Br 2.72
Br 0.5000 0.5000 0.5000  2 Sc 2.72

Most stable: #a (next structure +8.4 kJ/mol of atoms)

#a
Computed, not measured: an optimized crystal structure of Li2ScBr at the PBE level of DFT.

Space-group type ... Immm
Calculated density ... 2706 kg/m³

Cell lengths 6.0800, 6.0800, 6.0800 Å; angles 149.46, 131.31, 58.58 degrees
Closest atoms and distances in Å follow each position.
Fractional coordinates of all 4 atoms:
Li 0.2166 0.2166 0.0000  2 Br 2.80, 4 Li 3.06
Li 0.7834 0.7834 0.0000  2 Br 2.80, 4 Li 3.06
Sc 0.5000 0.0000 0.5000  4 Br 2.97, 2 Sc 3.20
Br 0.0000 0.5000 0.5000  4 Li 2.80, 4 Sc 2.97

#b
Computed, not measured: an optimized crystal structure of Li2ScBr at the PBE level of DFT.

Space-group type ... P4/mmm
Calculated density ... 2614 kg/m³

Cell lengths 3.2856, 3.2856, 8.1650 Å; angles 90.00, 90.00, 90.00 degrees
Closest atoms and distances in Å follow each position.
Fractional coordinates of all 4 atoms:
Li 0.0000 0.0000 0.1908  4 Br 2.80, 1 Li 3.12
Li 0.0000 0.0000 0.8092  4 Br 2.80, 1 Li 3.12
Sc 0.5000 0.5000 0.5000  4 Sc 3.29, 8 Li 3.43
Br 0.5000 0.5000 0.0000  8 Li 2.80

Most stable: #b (next structure +11.2 kJ/mol of atoms)

#a
Computed, not measured: an optimized crystal structure of Li2ScBr at the PBE level of DFT.

Space-group type ... Cmmm
Calculated density ... 2524 kg/m³

Cell lengths 3.3661, 3.3661, 8.7036 Å; angles 90.00, 90.00, 112.25 degrees
Closest atoms and distances in Å follow each position.
Fractional coordinates of all 4 atoms:
Li 0.0000 0.0000 0.1946  2 Br 2.53
Li 0.0000 0.0000 0.8054  2 Br 2.53
Sc 0.5000 0.5000 0.5000  4 Li 3.25, 4 Sc 3.37
Br 0.5000 0.5000 0.0000  4 Li 2.53

#b
Computed, not measured: an optimized crystal structure of Li2ScBr at the PBE level of DFT.

Space-group type ... P4/mmm
Calculated density ... 2814 kg/m³

Cell lengths 3.6848, 3.6848, 6.0310 Å; angles 90.00, 90.00, 90.00 degrees
Closest atoms and distances in Å follow each position.
Fractional coordinates of all 4 atoms:
Li 0.0000 0.0000 0.2426  2 Li 2.93-3.11, 4 Br 2.99, 4 Sc 3.03
Li 0.0000 0.0000 0.7574  2 Li 2.93-3.11, 4 Br 2.99, 4 Sc 3.03
Sc 0.5000 0.5000 0.5000  2 Br 3.02, 8 Li 3.03
Br 0.5000 0.5000 0.0000  8 Li 2.99, 2 Sc 3.02

Most stable: #a (next structure +11.4 kJ/mol of atoms)

#a
Computed, not measured: an optimized crystal structure of Li2ScBr at the PBE level of DFT.

Space-group type ... I-4m2
Calculated density ... 2840 kg/m³

Cell lengths 5.7568, 5.7568, 5.7568 Å; angles 139.06, 139.06, 59.29 degrees
Closest atoms and distances in Å follow each position.
Fractional coordinates of all 4 atoms:
Li 0.0000 0.0000 0.0000  4 Br 2.85
Li 0.7500 0.2500 0.5000  4 Sc 2.85
Sc 0.2500 0.7500 0.5000  4 Li 2.85
Br 0.5000 0.5000 0.0000  4 Li 2.85

#b
Computed, not measured: an optimized crystal structure of Li2ScBr at the PBE level of DFT.

Space-group type ... R-3m
Calculated density ... 2503 kg/m³

Cell lengths 9.0661, 9.0661, 9.0661 Å; angles 22.05, 22.05, 22.05 degrees
Closest atoms and distances in Å follow each position.
Fractional coordinates of all 4 atoms:
Li 0.2299 0.2299 0.2299  3 Br 2.61
Li 0.7701 0.7701 0.7701  3 Br 2.61
Sc 0.0000 0.0000 0.0000  6 Li 3.40, 6 Sc 3.47
Br 0.5000 0.5000 0.5000  6 Li 2.61

#c
Computed, not measured: an optimized crystal structure of Li2ScBr at the PBE level of DFT.

Space-group type ... Pmmm
Calculated density ... 2716 kg/m³

Cell lengths 3.3314, 4.9538, 5.1399 Å; angles 90.00, 90.00, 90.00 degrees
Closest atoms and distances in Å follow each position.
Fractional coordinates of all 4 atoms:
Li 0.0000 0.0000 0.0000  6 Li 2.98-3.33, 4 Br 3.06
Li 0.5000 0.5000 0.0000  6 Li 2.98-3.33, 4 Sc 3.06
Sc 0.0000 0.5000 0.5000  4 Br 2.98, 4 Li 3.06, 2 Sc 3.33
Br 0.5000 0.0000 0.5000  4 Sc 2.98, 4 Li 3.06, 2 Br 3.33

Most stable: #b (next structure +23.6 kJ/mol of atoms)

#a
Computed, not measured: an optimized crystal structure of Li3ScBr6 at the PBE level of DFT.

Space-group type ... P-1
Calculated density ... 3020 kg/m³

Cell lengths 7.2540, 7.3769, 7.5130 Å; angles 60.69, 89.00, 62.59 degrees
Closest atoms and distances in Å follow each position.
Fractional coordinates of all 10 atoms:
Li 0.0000 0.0000 0.0000  4 Br 2.55-2.71
Li 0.0000 0.0000 0.5000  4 Br 2.56-2.71
Li 0.5000 0.5000 0.0000  6 Br 2.74-2.84
Sc 0.0000 0.5000 0.5000  6 Br 2.66-2.68
Br 0.1523 0.5502 0.7826  2 Li 2.56-2.80, 1 Sc 2.66
Br 0.2617 0.0158 0.7372  1 Sc 2.68, 3 Li 2.71-2.84
Br 0.2855 0.5642 0.2877  2 Li 2.55-2.74, 1 Sc 2.67
Br 0.7145 0.4358 0.7123  2 Li 2.55-2.74, 1 Sc 2.67
Br 0.7383 0.9842 0.2628  1 Sc 2.68, 3 Li 2.71-2.84
Br 0.8477 0.4498 0.2174  2 Li 2.56-2.80, 1 Sc 2.66

#b
Computed, not measured: an optimized crystal structure of Li3ScBr6 at the PBE level of DFT.

Space-group type ... P2_1/c
Calculated density ... 3564 kg/m³

Cell lengths 6.8906, 7.0356, 12.5303 Å; angles 90.00, 123.24, 90.00 degrees
Closest atoms and distances in Å follow each position.
Fractional coordinates of all 20 atoms:
Li 0.0000 0.0000 0.0000  4 Br 2.63-2.83
Li 0.0000 0.5000 0.5000  4 Br 2.63-2.83
Li 0.2205 0.0378 0.7293  4 Br 2.63-2.78
Li 0.2205 0.4622 0.2293  4 Br 2.63-2.78
Li 0.7795 0.5378 0.7707  4 Br 2.63-2.78
Li 0.7795 0.9622 0.2707  4 Br 2.63-2.78
Sc 0.5000 0.0000 0.5000  6 Br 2.65-2.70
Sc 0.5000 0.5000 0.0000  6 Br 2.65-2.70
Br 0.1330 0.0897 0.2650  2 Li 2.63-2.78, 1 Sc 2.70
Br 0.1330 0.4103 0.7650  2 Li 2.63-2.78, 1 Sc 2.70
Br 0.2286 0.6776 0.0579  2 Li 2.63-2.65, 1 Sc 2.66
Br 0.2286 0.8224 0.5579  2 Li 2.63-2.65, 1 Sc 2.66
Br 0.4277 0.1813 0.0864  1 Sc 2.65, 2 Li 2.73-2.83
Br 0.4277 0.3187 0.5864  1 Sc 2.65, 2 Li 2.73-2.83
Br 0.5723 0.6813 0.4136  1 Sc 2.65, 2 Li 2.73-2.83
Br 0.5723 0.8187 0.9136  1 Sc 2.65, 2 Li 2.73-2.83
Br 0.7714 0.1776 0.4421  2 Li 2.63-2.65, 1 Sc 2.66
Br 0.7714 0.3224 0.9421  2 Li 2.63-2.65, 1 Sc 2.66
Br 0.8670 0.5897 0.2350  2 Li 2.63-2.78, 1 Sc 2.70
Br 0.8670 0.9103 0.7350  2 Li 2.63-2.78, 1 Sc 2.70

Most stable: #b (next structure +1.6 kJ/mol of atoms)